(1)
A geometry-optimized BeCrNi structure, computed with PBE-GGA.

abc: 5.647 4.417 2.998
angles: 70.14 74.56 61.73
Fractional coordinates of all 6 atoms:
Cr: 0.947 0.031 0.866
Cr: 0.652 0.037 0.510
Be: 0.806 0.532 0.186
Be: 0.139 0.542 0.515
Ni: 0.462 0.569 0.839
Ni: 0.276 0.096 0.169

Values from the calculation:
Magnetic moment = 0.00 μB/f.u.
Energy relative to the elements = -0.169 eV per formula unit
Energy above the lowest structure with this stoichiometry = 106 meV per atom
Space-group type = Cm, No. 8



(2)
A geometry-optimized Nb3CdP structure, computed with PBE-GGA.

abc: 4.974 4.974 4.974
angles: 90.00 90.00 90.00
Fractional coordinates of all 5 atoms:
Nb: 0.000 0.000 0.500
Nb: 0.000 0.500 0.000
Nb: 0.500 0.000 0.000
Cd: 0.000 0.000 0.000
P: 0.500 0.500 0.500

Values from the calculation:
Magnetic moment = 0.00 μB/f.u.
Energy relative to the elements = 10.390 eV per formula unit
Energy above the lowest structure with this stoichiometry = 1881 meV per atom
Space-group type = Pm-3m, No. 221



- What is the energy above the lowest structure with this stoichiometry in the second record?
  1881 meV per atom



- What is the formula in the second record?
  Nb3CdP